This record from Alexandria describes Hf2ScAg2 after structural relaxation. The functional is PBE.

Values from the calculation:
Density of states at the Fermi level   0.81 states/eV per atom
Symmetry   P4/mbm (127)
Energy relative to the lowest polymorph listed for this composition   0.53 eV per formula unit

Geometry as POSCAR:
```
Hf2ScAg2
1.0
-7.982 1.702 -2.078
-2.630 -6.281 4.957
-0.194 1.895 2.298
Hf Ag Sc
4 4 2
Direct
0.872 0.628 0.000 Hf
0.372 0.872 0.000 Hf
0.628 0.128 0.000 Hf
0.128 0.372 0.000 Hf
0.330 0.170 0.500 Ag
0.170 0.670 0.500 Ag
0.830 0.330 0.500 Ag
0.670 0.830 0.500 Ag
0.000 0.000 0.000 Sc
0.500 0.500 0.000 Sc
```